No. 1
First-principles (PBE) data for a geometry-optimized Dy5Ho6Tl structure, as listed in Alexandria via LeMat-Bulk.

**Energy relative to the elements**: -0.02 eV per atom
**E_tot**: -4.42 eV/atom

Cell: 6.0824 9.2991 9.2991 Å, 68.67 123.41 123.41°
Sites, in units of the cell vectors:
Ho 0.2381 0.0833 0.4115
Dy 0.5000 0.5000 0.5000
Ho 0.2381 0.4115 0.0833
Ho 0.7619 0.5885 0.9167
Dy 0.0000 0.3329 0.6671
Tl 0.0000 0.0000 0.0000
Ho 0.2564 0.7490 0.7490
Ho 0.7619 0.9167 0.5885
Dy 0.0000 0.6671 0.3329
Ho 0.7436 0.2510 0.2510
Dy 0.5000 0.1635 0.8365
Dy 0.5000 0.8365 0.1635

***

No. 2
First-principles (PBE) data for a geometry-optimized BeVC structure, as listed in Alexandria via LeMat-Bulk.

**Energy relative to the elements**: -0.22 eV per atom
**E_tot**: -7.57 eV/atom
**Offset from the most stable computed form**: 0.00 kcal/mol of atoms

Cell: 3.0185 3.0300 3.0300 Å, 120.00 90.00 90.00°
Sites, in units of the cell vectors:
Be 0.1667 0.3333 0.6667
C 0.1666 0.0000 0.0000
V 0.6667 0.6667 0.3333

***

No. 3
First-principles (PBE) data for a geometry-optimized TmTlP2O8 structure, as listed in Alexandria via LeMat-Bulk.

**E_tot**: -7.07 eV/atom
**E_form (uncorrected)**: -27.517 eV/f.u.

Cell: 5.7721 5.7721 5.7721 Å, 105.75 105.75 117.19°
Sites, in units of the cell vectors:
P 0.7500 0.2500 0.5000
Tl 0.2500 0.7500 0.5000
P 0.5000 0.5000 0.0000
O 0.8373 0.6665 0.1708
O 0.9106 0.5868 0.6762
O 0.4132 0.0894 0.3238
O 0.3335 0.1627 0.8292
O 0.3335 0.5043 0.1708
Tm 0.0000 0.0000 0.0000
O 0.9106 0.2344 0.3238
O 0.7656 0.0894 0.6762
O 0.4957 0.6665 0.8292

***

No. 4
First-principles (PBE) data for a geometry-optimized Fe2ReH structure, as listed in Alexandria via LeMat-Bulk.

**E_tot**: -7.85 eV/atom
**Offset from the most stable computed form**: 5.92 kcal/mol of atoms

Cell: 4.9329 4.9329 4.7618 Å, 58.80 58.80 90.00°
Sites, in units of the cell vectors:
Fe 0.8750 0.7183 0.7500
Re 0.7500 0.2500 0.5000
Fe 0.4683 0.1250 0.2500
Fe 0.2817 0.6250 0.2500
Re 0.0000 0.0000 0.0000
H 0.2500 0.7500 0.5000
Fe 0.3750 0.5317 0.7500
H 0.5000 0.5000 0.0000

***

No. 5
First-principles (PBE) data for a geometry-optimized Pm3Hg5Bi structure, as listed in Alexandria via LeMat-Bulk.

**Energy relative to the elements**: -0.46 eV per atom
**E_tot**: -2.64 eV/atom

Cell: 6.5634 9.2086 9.2082 Å, 120.00 90.00 90.00°
Sites, in units of the cell vectors:
Pm 0.7500 0.9999 0.6774
Bi 0.5000 0.0000 0.0000
Hg 0.2500 0.6487 0.0000
Hg 0.2500 0.0001 0.6488
Bi 0.0000 0.0000 0.0000
Pm 0.2500 0.0001 0.3226
Hg 0.0000 0.6667 0.3333
Pm 0.2500 0.6775 0.6774
Pm 0.7500 0.6774 0.0000
Hg 0.2500 0.3513 0.3512
Hg 0.7500 0.3513 0.0000
Hg 0.5000 0.3333 0.6667
Hg 0.7500 0.6487 0.6488
Pm 0.2500 0.3226 0.0000
Hg 0.5000 0.6667 0.3333
Pm 0.7500 0.3225 0.3226
Hg 0.0000 0.3333 0.6667
Hg 0.7500 0.9999 0.3512

***

No. 6
First-principles (PBE) data for a geometry-optimized SnGe2Sb2 structure, as listed in Alexandria via LeMat-Bulk.

**E_tot**: -3.95 eV/atom
**Offset from the most stable computed form**: 2.84 kcal/mol of atoms
**E_form (uncorrected)**: 1.710 eV/f.u.

Cell: 4.3564 4.3564 7.6393 Å, 73.43 73.43 90.00°
Sites, in units of the cell vectors:
Sb 0.7500 0.2500 0.5000
Ge 0.5924 0.5924 0.8153
Sb 0.2500 0.7500 0.5000
Sn 0.0000 0.0000 0.0000
Ge 0.4076 0.4076 0.1847

***

No. 7
First-principles (PBE) data for a geometry-optimized Rb3Y3SbO8 structure, as listed in Alexandria via LeMat-Bulk.

**E_tot**: -6.83 eV/atom
**E_form (uncorrected)**: -36.392 eV/f.u.

Cell: 6.9273 6.9285 7.7591 Å, 116.53 89.99 120.00°
Sites, in units of the cell vectors:
O 0.2125 0.9545 0.6666
Rb 0.0000 0.0000 0.0000
O 0.7420 0.9544 0.6666
Rb 0.0000 0.5000 0.0000
Y 0.5000 0.5000 0.5000
O 0.2125 0.4248 0.6667
Sb 0.0000 0.0000 0.5000
Y 0.0000 0.5000 0.5000
O 0.2767 0.5535 0.3305
Rb 0.5000 0.5000 0.0000
Y 0.5000 0.0000 0.5000
O 0.7875 0.0455 0.3334
O 0.7233 0.4465 0.6695
O 0.7875 0.5752 0.3333
O 0.2580 0.0456 0.3334

***

No. 8
First-principles (PBE) data for a geometry-optimized DyPuAgPt structure, as listed in Alexandria via LeMat-Bulk.

**Energy relative to the elements**: -0.52 eV per atom
**E_tot**: -7.47 eV/atom

Cell: 5.0470 5.0470 5.0470 Å, 60.00 60.00 60.00°
Site moments in Bohr magnetons follow the coordinates.
Sites, in units of the cell vectors:
Pu 0.0000 0.0000 0.0000  5.28
Pt 0.7500 0.7500 0.7500  -0.06
Ag 0.2500 0.2500 0.2500  0.03
Dy 0.5000 0.5000 0.5000  0.12

***

No. 9
First-principles (PBE) data for a geometry-optimized Ga2SiPbI structure, as listed in Alexandria via LeMat-Bulk.

**E_tot**: -2.41 eV/atom
**E_form (uncorrected)**: 4.675 eV/f.u.

Cell: 5.5228 6.1015 5.5228 Å, 90.00 90.00 90.00°
Sites, in units of the cell vectors:
Si 0.5000 0.5000 0.5000
I 0.0000 0.5000 0.0000
Pb 0.0000 0.0000 0.0000
Ga 0.0000 0.0000 0.5000
Ga 0.5000 0.0000 0.0000

***

No. 10
First-principles (PBE) data for a geometry-optimized Mn2IrRu structure, as listed in Alexandria via LeMat-Bulk.

**Energy relative to the elements**: 0.24 eV per atom
**E_tot**: -8.88 eV/atom

Cell: 4.2857 4.2857 4.2857 Å, 60.00 60.00 60.00°
Site moments in Bohr magnetons follow the coordinates.
Sites, in units of the cell vectors:
Mn 0.0000 0.0000 0.0000  2.99
Mn 0.2500 0.2500 0.2500  3.01
Ru 0.7500 0.7500 0.7500  0.62
Ir 0.5000 0.5000 0.5000  0.47

***

No. 11
First-principles (PBE) data for a geometry-optimized Ti7Re2Pd3 structure, as listed in Alexandria via LeMat-Bulk.

**Energy relative to the elements**: -0.07 eV per atom
**E_tot**: -8.05 eV/atom

Cell: 4.4733 4.3275 10.9015 Å, 101.45 90.00 90.00°
Site moments in Bohr magnetons follow the coordinates.
Sites, in units of the cell vectors:
Pd 0.5000 0.6550 0.3101  0.00
Ti 0.0000 0.4242 0.8484  0.17
Pd 0.5000 0.5000 0.0000  0.03
Ti 0.5000 0.0823 0.1645  0.09
Ti 0.5000 0.9177 0.8355  0.09
Ti 0.0000 0.7148 0.4297  0.09
Ti 0.0000 0.5758 0.1516  0.17
Ti 0.0000 0.0000 0.0000  0.71
Re 0.0000 0.1463 0.2926  -0.03
Pd 0.5000 0.3450 0.6899  0.00
Re 0.0000 0.8537 0.7074  -0.03
Ti 0.0000 0.2852 0.5703  0.09

***

No. 12
First-principles (PBE) data for a geometry-optimized LiYPaRe structure, as listed in Alexandria via LeMat-Bulk.

**Energy relative to the elements**: 0.12 eV per atom
**E_tot**: -7.46 eV/atom

Cell: 4.9205 4.9205 4.9205 Å, 60.00 60.00 60.00°
Sites, in units of the cell vectors:
Re 0.5000 0.5000 0.5000
Pa 0.2500 0.2500 0.2500
Li 0.0000 0.0000 0.0000
Y 0.7500 0.7500 0.7500

***

No. 13
First-principles (PBE) data for a geometry-optimized GeSeBr2 structure, as listed in Alexandria via LeMat-Bulk.

**E_tot**: -3.22 eV/atom
**Offset from the most stable computed form**: 2.71 kcal/mol of atoms
**E_form (uncorrected)**: -1.434 eV/f.u.

Cell: 6.8971 7.4057 7.7314 Å, 117.27 98.06 106.79°
Sites, in units of the cell vectors:
Br 0.6214 0.8044 0.7908
Se 0.6596 0.2674 0.4190
Ge 0.8373 0.3879 0.1797
Ge 0.8639 0.6513 0.6795
Br 0.0969 0.6955 0.9604
Br 0.8672 0.0561 0.4810
Br 0.5149 0.4178 0.0529
Se 0.0589 0.8029 0.5143

***

No. 14
First-principles (PBE) data for a geometry-optimized Ca2LaPd structure, as listed in Alexandria via LeMat-Bulk.

**Energy relative to the elements**: -0.18 eV per atom
**E_tot**: -3.71 eV/atom
**Offset from the most stable computed form**: 5.25 kcal/mol of atoms

Cell: 9.5775 9.5775 7.4033 Å, 49.70 49.70 90.00°
Sites, in units of the cell vectors:
La 0.7500 0.2500 0.5000
Ca 0.3750 0.4738 0.7500
Pd 0.2500 0.7500 0.5000
Ca 0.5262 0.1250 0.2500
Pd 0.5000 0.5000 0.0000
La 0.0000 0.0000 0.0000
Ca 0.8750 0.7762 0.7500
Ca 0.2238 0.6250 0.2500

***

No. 15
First-principles (PBE) data for a geometry-optimized Tb3PmNd2Er6 structure, as listed in Alexandria via LeMat-Bulk.

**Energy relative to the elements**: 0.02 eV per atom
**E_tot**: -4.61 eV/atom

Cell: 6.1752 6.1752 11.7350 Å, 95.01 95.01 119.97°
Sites, in units of the cell vectors:
Nd 0.3333 0.6667 0.0000
Er 0.9154 0.5822 0.7471
Pm 0.0000 0.0000 0.0000
Tb 0.1666 0.8334 0.5000
Er 0.2486 0.2486 0.7471
Er 0.0846 0.4178 0.2529
Nd 0.6667 0.3333 0.0000
Er 0.4178 0.0846 0.2529
Er 0.5822 0.9154 0.7471
Tb 0.5000 0.5000 0.5000
Tb 0.8334 0.1666 0.5000
Er 0.7514 0.7514 0.2529

***

No. 16
First-principles (PBE) data for a geometry-optimized SiHCl3 structure, as listed in Alexandria via LeMat-Bulk.

**E_tot**: -2.89 eV/atom
**Offset from the most stable computed form**: 0.00 kcal/mol of atoms

Cell: 4.7375 4.7375 4.7375 Å, 90.00 90.00 90.00°
Site moments in Bohr magnetons follow the coordinates.
Sites, in units of the cell vectors:
Cl 0.0000 0.0000 0.5000  0.01
Cl 0.5000 0.0000 0.0000  0.00
Si 0.0000 0.0000 0.0000  -0.02
H 0.5000 0.5000 0.5000  0.38
Cl 0.0000 0.5000 0.0000  0.01

***

No. 17
First-principles (PBE) data for a geometry-optimized AgSn2Pd4Au2 structure, as listed in Alexandria via LeMat-Bulk.

**Energy relative to the elements**: 0.11 eV per atom
**E_tot**: -4.14 eV/atom

Cell: 6.3523 6.3523 6.3523 Å, 89.47 120.31 120.31°
Sites, in units of the cell vectors:
Au 0.0000 0.7171 0.7171
Pd 0.0000 0.2838 0.7162
Sn 0.5000 0.7500 0.2500
Pd 0.4324 0.7162 0.7162
Au 0.0000 0.2829 0.2829
Pd 0.0000 0.7162 0.2838
Pd 0.5676 0.2838 0.2838
Ag 0.0000 0.0000 0.0000
Sn 0.5000 0.2500 0.7500

***

No. 18
First-principles (PBE) data for a geometry-optimized KTc structure, as listed in Alexandria via LeMat-Bulk.

**Energy relative to the elements**: 1.00 eV per atom
**E_tot**: -4.73 eV/atom
**Offset from the most stable computed form**: 5.70 kcal/mol of atoms

Cell: 11.9767 11.9767 11.9767 Å, 15.13 15.13 15.13°
Sites, in units of the cell vectors:
Tc 0.5180 0.5180 0.5180
Tc 0.2320 0.2320 0.2320
K 0.7671 0.7671 0.7671
K 0.9829 0.9829 0.9829

***

No. 19
First-principles (PBE) data for a geometry-optimized BaPd3I structure, as listed in Alexandria via LeMat-Bulk.

**E_tot**: -3.04 eV/atom
**Offset from the most stable computed form**: 19.99 kcal/mol of atoms
**E_form (uncorrected)**: 3.828 eV/f.u.

Cell: 5.4649 5.4649 5.4649 Å, 90.00 90.00 90.00°
Sites, in units of the cell vectors:
Pd 0.0000 0.0000 0.5000
Ba 0.0000 0.0000 0.0000
Pd 0.0000 0.5000 0.0000
I 0.5000 0.5000 0.5000
Pd 0.5000 0.0000 0.0000

***

No. 20
First-principles (PBE) data for a geometry-optimized Mn2CoOsPb structure, as listed in Alexandria via LeMat-Bulk.

**Energy relative to the elements**: 1.46 eV per atom
**E_tot**: -6.61 eV/atom

Cell: 4.7976 5.1346 4.7976 Å, 90.00 90.00 90.00°
Site moments in Bohr magnetons follow the coordinates.
Sites, in units of the cell vectors:
Co 0.5000 0.5000 0.5000  1.96
Os 0.0000 0.0000 0.0000  -0.03
Pb 0.0000 0.5000 0.0000  0.00
Mn 0.0000 0.0000 0.5000  3.75
Mn 0.5000 0.0000 0.0000  3.92

***

No. 21
First-principles (PBE) data for a geometry-optimized ScS2ICl structure, as listed in Alexandria via LeMat-Bulk.

**E_tot**: -3.19 eV/atom
**Offset from the most stable computed form**: 23.08 kcal/mol of atoms
**E_form (uncorrected)**: 2.041 eV/f.u.

Cell: 5.1875 5.1875 5.2737 Å, 90.00 90.00 90.00°
Site moments in Bohr magnetons follow the coordinates.
Sites, in units of the cell vectors:
S 0.5000 0.0000 0.0000  -0.01
Sc 0.5000 0.5000 0.5000  0.91
Cl 0.0000 0.0000 0.5000  0.00
I 0.0000 0.0000 0.0000  0.02
S 0.0000 0.5000 0.0000  -0.01

***

No. 22
First-principles (PBE) data for a geometry-optimized PaMo2Rh structure, as listed in Alexandria via LeMat-Bulk.

**Energy relative to the elements**: 0.13 eV per atom
**E_tot**: -9.50 eV/atom

Cell: 4.5599 4.5599 4.6786 Å, 60.84 60.84 60.00°
Sites, in units of the cell vectors:
Mo 0.2410 0.2410 0.2771
Pa 0.5000 0.5000 0.5000
Mo 0.7590 0.7590 0.7229
Rh 0.0000 0.0000 0.0000

***

No. 23
First-principles (PBE) data for a geometry-optimized La2NiTe structure, as listed in Alexandria via LeMat-Bulk.

**E_tot**: -5.36 eV/atom
**E_form (uncorrected)**: -2.676 eV/f.u.

Cell: 6.3152 6.3152 6.3152 Å, 144.17 134.92 58.88°
Sites, in units of the cell vectors:
La 0.7182 0.2182 0.5000
Te 0.2990 0.7990 0.5000
La 0.9982 0.9982 0.0000
Ni 0.4846 0.4846 0.0000

***

No. 24
First-principles (PBE) data for a geometry-optimized TcC2N structure, as listed in Alexandria via LeMat-Bulk.

**E_tot**: -8.00 eV/atom
**E_form (uncorrected)**: 5.146 eV/f.u.

Cell: 4.5273 4.5273 4.6076 Å, 60.57 60.57 90.00°
Sites, in units of the cell vectors:
Tc 0.7500 0.2500 0.5000
N 0.5000 0.5000 0.0000
C 0.8750 0.7825 0.7500
C 0.2175 0.6250 0.2500
Tc 0.0000 0.0000 0.0000
C 0.3750 0.4675 0.7500
C 0.5325 0.1250 0.2500
N 0.2500 0.7500 0.5000

***

No. 25
First-principles (PBE) data for a geometry-optimized CsNa2SnAu structure, as listed in Alexandria via LeMat-Bulk.

**Energy relative to the elements**: -0.18 eV per atom
**E_tot**: -2.33 eV/atom
**Offset from the most stable computed form**: 0.00 kcal/mol of atoms

Cell: 5.8418 5.8418 5.3992 Å, 90.00 90.00 90.00°
Sites, in units of the cell vectors:
Cs 0.5000 0.5000 0.5000
Na 0.5000 0.0000 0.0000
Sn 0.0000 0.0000 0.5000
Na 0.0000 0.5000 0.0000
Au 0.0000 0.0000 0.0000